Entry from Alexandria: a relaxed structure of La2Zn2Sn (PBE).

Cell and atoms, written as CIF:
```
data_La2Zn2Sn
_symmetry_space_group_name_H-M 'C 1 2/m 1'
_symmetry_Int_Tables_number 12
_symmetry_space_group_name_Hall '-C 2y'
_cell_length_a 11.338
_cell_length_b 4.692
_cell_length_c 11.189
_cell_angle_alpha 90.00
_cell_angle_beta 117.22
_cell_angle_gamma 90.00
loop_
_atom_site_label
_atom_site_fract_x
_atom_site_fract_y
_atom_site_fract_z
La1 0.013 0.000 0.333
La2 0.180 0.000 0.091
Zn1 0.022 0.500 0.889
Zn2 0.133 0.500 0.553
Sn1 0.224 0.500 0.337
```


Entry from Alexandria: a relaxed structure of La6Zn5Sn (PBE).

Cell and atoms, written as CIF:
```
data_La6Zn5Sn
_symmetry_space_group_name_H-M 'P 1 2/m 1'
_symmetry_Int_Tables_number 10
_symmetry_space_group_name_Hall '-P 2y'
_cell_length_a 5.358
_cell_length_b 7.611
_cell_length_c 8.502
_cell_angle_alpha 90.00
_cell_angle_beta 108.38
_cell_angle_gamma 90.00
loop_
_atom_site_label
_atom_site_fract_x
_atom_site_fract_y
_atom_site_fract_z
La1 0.000 0.243 0.000
La2 0.331 0.244 0.662
Zn1 0.164 0.000 0.331
Zn2 0.170 0.500 0.342
Zn3 0.500 0.000 0.000
Sn1 0.500 0.500 0.000
```


Entry from Alexandria: a relaxed structure of La4ZnSn8 (PBE).

Cell and atoms, written as CIF:
```
data_La4ZnSn8
_symmetry_space_group_name_H-M 'P m m 2'
_symmetry_Int_Tables_number 25
_symmetry_space_group_name_Hall 'P 2 -2'
_cell_length_a 4.492
_cell_length_b 4.623
_cell_length_c 17.949
_cell_angle_alpha 90.00
_cell_angle_beta 90.00
_cell_angle_gamma 90.00
loop_
_atom_site_label
_atom_site_fract_x
_atom_site_fract_y
_atom_site_fract_z
La1 0.000 0.000 0.000
La2 0.000 0.500 0.485
La3 0.500 0.000 0.788
La4 0.500 0.500 0.285
Zn1 0.000 0.500 0.716
Sn1 0.000 0.000 0.326
Sn2 0.000 0.000 0.628
Sn3 0.000 0.500 0.141
Sn4 0.000 0.500 0.861
Sn5 0.500 0.000 0.146
Sn6 0.500 0.000 0.436
Sn7 0.500 0.500 0.626
Sn8 0.500 0.500 0.969
```


Entry from Alexandria: a relaxed structure of LaZrSn2 (PBE).

Cell and atoms, written as CIF:
```
data_LaZrSn2
_symmetry_space_group_name_H-M 'P 4/m m m'
_symmetry_Int_Tables_number 123
_symmetry_space_group_name_Hall '-P 4 2'
_cell_length_a 3.937
_cell_length_b 3.937
_cell_length_c 6.819
_cell_angle_alpha 90.00
_cell_angle_beta 90.00
_cell_angle_gamma 90.00
loop_
_atom_site_label
_atom_site_fract_x
_atom_site_fract_y
_atom_site_fract_z
La1 0.000 0.000 0.000
Zr1 0.000 0.000 0.500
Sn1 0.500 0.500 0.286
```

Summary:
Energy relative to the lowest polymorph listed for this composition   0 meV/atom


Entry from Alexandria: a relaxed structure of LaZrSn2 (PBE).

Cell and atoms, written as CIF:
```
data_LaZrSn2
_symmetry_space_group_name_H-M 'F m -3 m'
_symmetry_Int_Tables_number 225
_symmetry_space_group_name_Hall '-F 4 2 3'
_cell_length_a 7.529
_cell_length_b 7.529
_cell_length_c 7.529
_cell_angle_alpha 90.00
_cell_angle_beta 90.00
_cell_angle_gamma 90.00
loop_
_atom_site_label
_atom_site_fract_x
_atom_site_fract_y
_atom_site_fract_z
La1 0.000 0.000 0.000
Zr1 0.000 0.000 0.500
Sn1 0.250 0.250 0.250
```

Summary:
Energy relative to the lowest polymorph listed for this composition   152 meV/atom


Entry from Alexandria: a relaxed structure of LaZrSn2 (PBE).

Cell and atoms, written as CIF:
```
data_LaZrSn2
_symmetry_space_group_name_H-M 'I -4 2 d'
_symmetry_Int_Tables_number 122
_symmetry_space_group_name_Hall 'I -4 2bw'
_cell_length_a 4.822
_cell_length_b 4.822
_cell_length_c 21.094
_cell_angle_alpha 90.00
_cell_angle_beta 90.00
_cell_angle_gamma 90.00
loop_
_atom_site_label
_atom_site_fract_x
_atom_site_fract_y
_atom_site_fract_z
La1 0.000 0.000 0.000
Zr1 0.000 0.000 0.500
Sn1 0.178 0.250 0.625
```

Summary:
Energy relative to the lowest polymorph listed for this composition   536 meV/atom


Entry from Alexandria: a relaxed structure of La2Zr2Sn (PBE).

Cell and atoms, written as CIF:
```
data_La2Zr2Sn
_symmetry_space_group_name_H-M 'P 4/m b m'
_symmetry_Int_Tables_number 127
_symmetry_space_group_name_Hall '-P 4 2ab'
_cell_length_a 7.732
_cell_length_b 7.732
_cell_length_c 4.775
_cell_angle_alpha 90.00
_cell_angle_beta 90.00
_cell_angle_gamma 90.00
loop_
_atom_site_label
_atom_site_fract_x
_atom_site_fract_y
_atom_site_fract_z
La1 0.173 0.327 0.000
Zr1 0.138 0.638 0.500
Sn1 0.000 0.000 0.500
```


Entry from Alexandria: a relaxed structure of LaZr2Sn (PBE).

Cell and atoms, written as CIF:
```
data_LaZr2Sn
_symmetry_space_group_name_H-M 'I -4 2 d'
_symmetry_Int_Tables_number 122
_symmetry_space_group_name_Hall 'I -4 2bw'
_cell_length_a 4.521
_cell_length_b 4.521
_cell_length_c 21.307
_cell_angle_alpha 90.00
_cell_angle_beta 90.00
_cell_angle_gamma 90.00
loop_
_atom_site_label
_atom_site_fract_x
_atom_site_fract_y
_atom_site_fract_z
La1 0.000 0.000 0.000
Zr1 0.237 0.250 0.625
Sn1 0.000 0.000 0.500
```


Entry from Alexandria: a relaxed structure of LaZr2Sn (PBE).

Cell and atoms, written as CIF:
```
data_LaZr2Sn
_symmetry_space_group_name_H-M 'P 4/m m m'
_symmetry_Int_Tables_number 123
_symmetry_space_group_name_Hall '-P 4 2'
_cell_length_a 4.758
_cell_length_b 4.758
_cell_length_c 4.405
_cell_angle_alpha 90.00
_cell_angle_beta 90.00
_cell_angle_gamma 90.00
loop_
_atom_site_label
_atom_site_fract_x
_atom_site_fract_y
_atom_site_fract_z
La1 0.000 0.000 0.000
Zr1 0.000 0.500 0.500
Sn1 0.500 0.500 0.000
```


Entry from Alexandria: a relaxed structure of LaZrSn2 (PBE).

Cell and atoms, written as CIF:
```
data_LaZrSn2
_symmetry_space_group_name_H-M 'R -3 m'
_symmetry_Int_Tables_number 166
_symmetry_space_group_name_Hall '-R 3 2"'
_cell_length_a 4.2653
_cell_length_b 4.2653
_cell_length_c 22.5219
_cell_angle_alpha 90.00
_cell_angle_beta 90.00
_cell_angle_gamma 120.00
loop_
_atom_site_label
_atom_site_fract_x
_atom_site_fract_y
_atom_site_fract_z
La1 0.0000 0.0000 0.0000
Zr1 0.0000 0.0000 0.5000
Sn1 0.0000 0.0000 0.2395
```

Summary:
Energy relative to the lowest polymorph listed for this composition   53 meV/atom


Entry from Alexandria: a relaxed structure of SrLa2 (PBE).

Cell and atoms, written as CIF:
```
data_SrLa2
_symmetry_space_group_name_H-M 'P -3 m 1'
_symmetry_Int_Tables_number 164
_symmetry_space_group_name_Hall '-P 3 2"'
_cell_length_a 6.2497
_cell_length_b 6.2497
_cell_length_c 3.6446
_cell_angle_alpha 90.00
_cell_angle_beta 90.00
_cell_angle_gamma 120.00
loop_
_atom_site_label
_atom_site_fract_x
_atom_site_fract_y
_atom_site_fract_z
Sr1 0.0000 0.0000 0.0000
La1 0.3333 0.6667 0.2805
```

Summary:
Energy relative to the lowest polymorph listed for this composition   100 meV/atom


Entry from Alexandria: a relaxed structure of SrLa4 (PBE).

Cell and atoms, written as CIF:
```
data_SrLa4
_symmetry_space_group_name_H-M 'P m -3 m'
_symmetry_Int_Tables_number 221
_symmetry_space_group_name_Hall '-P 4 2 3'
_cell_length_a 6.013
_cell_length_b 6.013
_cell_length_c 6.013
_cell_angle_alpha 90.00
_cell_angle_beta 90.00
_cell_angle_gamma 90.00
loop_
_atom_site_label
_atom_site_fract_x
_atom_site_fract_y
_atom_site_fract_z
Sr1 0.000 0.000 0.000
La1 0.000 0.000 0.500
La2 0.500 0.500 0.500
```


| no. | electronic total energy (eV per atom) | ΔE_f (eV/f.u.) |
| --- | --- | --- |
| 1 | -3.7615 | -2.40 |
| 2 | -3.7138 | -4.63 |
| 3 | -4.7007 | -8.10 |
| 4 | -5.9092 | -2.16 |
| 5 | -5.7576 | -1.55 |
| 6 | -5.3736 | -0.01 |
| 7 | -6.3508 | -0.80 |
| 8 | -6.4512 | 0.22 |
| 9 | -6.7518 | -0.98 |
| 10 | -5.8559 | -1.94 |
| 11 | -3.6756 | 0.51 |
| 12 | -3.4680 | 4.05 |